# AlFe

A relaxed AlFe crystal (PBE-GGA, OQMD via LeMat-Bulk).

Lattice parameters (Å, degrees): 5.541 5.541 5.541 90.00 90.00 90.00
Element x y z (fractional)
Al 0.000 0.000 0.000
Al 0.000 0.500 0.500
Al 0.500 0.000 0.500
Al 0.500 0.500 0.000
Fe 0.250 0.250 0.750
Fe 0.250 0.750 0.250
Fe 0.750 0.250 0.250
Fe 0.750 0.750 0.750

Properties
**Electronic total energy**: -0.355 Ry/atom
**Space group**: No. 216


# AlFe2

A relaxed AlFe2 crystal (PBE-GGA, OQMD via LeMat-Bulk).

Lattice parameters (Å, degrees): 5.567 5.567 5.567 90.00 90.00 90.00
Element x y z (fractional)
Al 0.000 0.000 0.000
Al 0.000 0.500 0.500
Al 0.500 0.000 0.500
Al 0.500 0.500 0.000
Fe 0.250 0.250 0.250
Fe 0.250 0.250 0.750
Fe 0.250 0.750 0.250
Fe 0.250 0.750 0.750
Fe 0.750 0.250 0.250
Fe 0.750 0.250 0.750
Fe 0.750 0.750 0.250
Fe 0.750 0.750 0.750

Properties
**Electronic total energy**: -0.468 Ry/atom
**Space group**: No. 225


# Al2Fe3

A relaxed Al2Fe3 crystal (PBE-GGA, OQMD via LeMat-Bulk).

Lattice parameters (Å, degrees): 5.550 5.550 5.550 65.80 65.80 65.80
Element x y z (fractional)
Al 0.095 0.095 0.095
Al 0.405 0.405 0.405
Al 0.595 0.595 0.595
Al 0.905 0.905 0.905
Fe 0.019 0.250 0.481
Fe 0.250 0.481 0.019
Fe 0.481 0.019 0.250
Fe 0.519 0.981 0.750
Fe 0.750 0.519 0.981
Fe 0.981 0.750 0.519

Properties
**Electronic total energy**: -0.454 Ry/atom
**Space group**: No. 167


# AlFe

A relaxed AlFe crystal (PBE-GGA, OQMD via LeMat-Bulk).

Lattice parameters (Å, degrees): 4.074 4.074 4.664 90.00 90.00 120.00
Element x y z (fractional)
Al 0.333 0.667 0.250
Al 0.667 0.333 0.750
Fe 0.333 0.667 0.750
Fe 0.667 0.333 0.250

Properties
**Electronic total energy**: -0.394 Ry/atom
**Space group**: No. 194


# AlGa2Fe

A relaxed AlGa2Fe crystal (PBE-GGA, OQMD via LeMat-Bulk).

Lattice parameters (Å, degrees): 6.194 6.194 6.194 90.00 90.00 90.00
Element x y z (fractional)
Al 0.000 0.000 0.000
Al 0.000 0.500 0.500
Al 0.500 0.000 0.500
Al 0.500 0.500 0.000
Ga 0.000 0.000 0.500
Ga 0.000 0.500 0.000
Ga 0.250 0.250 0.750
Ga 0.250 0.750 0.250
Ga 0.500 0.000 0.000
Ga 0.500 0.500 0.500
Ga 0.750 0.250 0.250
Ga 0.750 0.750 0.750
Fe 0.250 0.250 0.250
Fe 0.250 0.750 0.750
Fe 0.750 0.250 0.750
Fe 0.750 0.750 0.250

Properties
**Electronic total energy**: -0.318 Ry/atom
**Space group**: No. 216


# AlGaFe2

A relaxed AlGaFe2 crystal (PBE-GGA, OQMD via LeMat-Bulk).

Lattice parameters (Å, degrees): 5.759 5.759 5.759 90.00 90.00 90.00
Element x y z (fractional)
Al 0.000 0.000 0.000
Al 0.000 0.000 0.500
Al 0.000 0.500 0.000
Al 0.500 0.000 0.000
Ga 0.000 0.500 0.500
Ga 0.500 0.000 0.500
Ga 0.500 0.500 0.000
Ga 0.500 0.500 0.500
Fe 0.251 0.251 0.251
Fe 0.251 0.251 0.749
Fe 0.251 0.749 0.251
Fe 0.251 0.749 0.749
Fe 0.749 0.251 0.251
Fe 0.749 0.251 0.749
Fe 0.749 0.749 0.251
Fe 0.749 0.749 0.749

Properties
**Electronic total energy**: -0.445 Ry/atom
**Space group**: No. 221


# Ho2AlGaFe4

A relaxed Ho2AlGaFe4 crystal (PBE-GGA, OQMD via LeMat-Bulk).

Lattice parameters (Å, degrees): 3.941 4.941 6.827 90.00 90.00 90.00
Element x y z (fractional)
Ho 0.000 0.000 0.000
Ho 0.000 0.500 0.376
Al 0.500 0.000 0.359
Ga 0.500 0.500 0.025
Fe 0.000 0.000 0.592
Fe 0.000 0.500 0.784
Fe 0.500 0.250 0.688
Fe 0.500 0.750 0.688

Properties
**Electronic total energy**: -0.475 Ry/atom
**Space group**: No. 25


# AlGaFe2Ir4

A relaxed AlGaFe2Ir4 crystal (PBE-GGA, OQMD via LeMat-Bulk).

Lattice parameters (Å, degrees): 4.277 4.277 6.048 90.00 90.00 90.00
Element x y z (fractional)
Al 0.000 0.000 0.000
Ga 0.500 0.500 0.500
Fe 0.000 0.000 0.500
Fe 0.500 0.500 0.000
Ir 0.000 0.500 0.249
Ir 0.000 0.500 0.751
Ir 0.500 0.000 0.249
Ir 0.500 0.000 0.751

Properties
**Electronic total energy**: -0.566 Ry/atom
**Space group**: No. 123